(1)
First-principles (PBE-GGA) data for an optimized crystal structure of TbPr5Nd5, as listed in the Alexandria database.

abc: 10.128 10.128 7.111
angles: 109.85 109.85 35.64
Atoms (fractional coordinates):
1 Tb 0.000 0.000 0.000
2 Pr 0.174 0.174 0.417
3 Pr 0.174 0.174 0.930
4 Pr 0.500 0.500 0.000
5 Pr 0.826 0.826 0.070
6 Pr 0.826 0.826 0.583
7 Nd 0.000 0.000 0.500
8 Nd 0.330 0.330 0.825
9 Nd 0.374 0.374 0.369
10 Nd 0.626 0.626 0.631
11 Nd 0.670 0.670 0.175

Calculated total energy, eV per atom: -4.5343
Excess energy over the best structure of this formula in the dataset, eV per atom: 0.0961

***

(2)
First-principles (PBE-GGA) data for an optimized crystal structure of TbPr7Nd3, as listed in the Alexandria database.

abc: 7.906 7.906 6.576
angles: 93.83 93.83 82.16
Atoms (fractional coordinates):
1 Tb 0.000 0.000 0.000
2 Pr 0.000 0.000 0.500
3 Pr 0.072 0.419 0.762
4 Pr 0.261 0.261 0.285
5 Pr 0.419 0.072 0.762
6 Pr 0.581 0.928 0.238
7 Pr 0.739 0.739 0.715
8 Pr 0.928 0.581 0.238
9 Nd 0.329 0.671 0.500
10 Nd 0.500 0.500 0.000
11 Nd 0.671 0.329 0.500

Calculated total energy, eV per atom: -4.5424
Excess energy over the best structure of this formula in the dataset, eV per atom: 0.0035

***

Number 1: energy relative to the elements 226 meV per atom. Number 2: energy relative to the elements 220 meV per atom.